A plane-wave DFT calculation with PBE was carried out for a relaxed structure of BeZnTe2S.

As for the energy above the most stable polymorph in this dataset: 113 meV per atom. The calculation puts the final energy at -3.38 eV per atom. For the total magnetic moment, the calculation gives 0.0 μB per cell.

a b c (Å): 3.9671 4.0355 7.5676
angles (deg): 91.81 93.59 98.63
Last column: nearest neighbours and their distance in Å.
Atoms (fractional coordinates):
Te1 0.2705 0.3779 0.0018  2 Be 2.46-2.48
Te2 0.5579 0.6658 0.7011  2 Zn 2.62-2.64, 1 Te 2.81
Zn1 0.0036 0.4417 0.5005  2 S 2.35-2.56, 1 Te 2.62
S1 0.9359 0.9520 0.3169  2 Be 2.17-2.35, 1 Zn 2.35
Be1 0.4392 0.9111 0.1750  2 S 2.17-2.35

***

A plane-wave DFT calculation with PBE was carried out for a relaxed structure of YTm2ZrN4.

The calculation puts the final energy at -8.94 eV per atom. For the total magnetic moment, the calculation gives 0.0 μB per cell.

a b c (Å): 3.3724 5.8515 5.8421
angles (deg): 109.30 90.00 90.00
Last column: nearest neighbours and their distance in Å.
Atoms (fractional coordinates):
N1 0.0000 0.2405 0.7518  1 Zr 2.33, 3 Tm 2.37-2.44, 2 Y 2.41
N2 0.5000 0.7605 0.7567  2 Zr 2.35, 3 Tm 2.37-2.43, 1 Y 2.40
N3 0.5000 0.2395 0.2433  2 Zr 2.35, 3 Tm 2.37-2.43, 1 Y 2.40
N4 0.0000 0.7595 0.2482  1 Zr 2.33, 3 Tm 2.37-2.44, 2 Y 2.41
Zr1 0.0000 0.0000 0.0000  6 N 2.33-2.35
Tm1 0.5000 0.0000 0.5000  6 N 2.37
Tm2 0.0000 0.5000 0.5000  6 N 2.43-2.44
Y1 0.5000 0.5000 0.0000  6 N 2.40-2.41

***

A plane-wave DFT calculation with PBE was carried out for a relaxed structure of BiPbS2Br.

The calculation puts the final energy at -4.01 eV per atom. For the total magnetic moment, the calculation gives 0.0 μB per cell.

a b c (Å): 5.4243 7.1840 8.6262
angles (deg): 107.22 90.00 90.00
Last column: nearest neighbours and their distance in Å.
Atoms (fractional coordinates):
S1 0.7500 0.5657 0.4080  3 Bi 2.63-2.83
S2 0.7500 0.5570 0.8686  1 Bi 2.59, 2 Pb 2.90
S3 0.2500 0.4430 0.1314  1 Bi 2.59, 2 Pb 2.90
S4 0.2500 0.4343 0.5920  3 Bi 2.63-2.83
Br1 0.2500 0.0420 0.7604  1 Pb 3.17, 1 Bi 3.27, 1 S 3.53
Br2 0.7500 0.9580 0.2396  1 Pb 3.17, 1 Bi 3.27, 1 S 3.53
Bi1 0.2500 0.6838 0.4219  4 S 2.59-2.83
Bi2 0.7500 0.3162 0.5781  4 S 2.59-2.83
Pb1 0.7500 0.2967 0.0726  4 S 2.90-2.97, 1 Br 3.17
Pb2 0.2500 0.7033 0.9274  4 S 2.90-2.97, 1 Br 3.17

***

A plane-wave DFT calculation with PBE was carried out for a relaxed structure of Pr8Rh3I4N.

The calculation puts the final energy at -5.61 eV per atom. For the total magnetic moment, the calculation gives 0.0 μB per cell.

a b c (Å): 8.2249 9.4756 8.2709
angles (deg): 116.08 119.82 90.00
Last column: nearest neighbours and their distance in Å.
Atoms (fractional coordinates):
Pr1 0.7507 0.6770 0.9650  1 N 2.63, 2 Rh 2.86-2.88
Pr2 0.7298 0.6883 0.4596  3 Rh 2.83-2.85
Pr3 0.2702 0.3117 0.5404  3 Rh 2.83-2.85
Pr4 0.7812 0.3206 0.5625  1 N 2.71, 2 Rh 2.84
Pr5 0.2142 0.6770 0.9650  1 N 2.63, 2 Rh 2.86-2.88
Pr6 0.2493 0.3230 0.0350  1 N 2.63, 2 Rh 2.86-2.88
Pr7 0.2188 0.6794 0.4375  1 N 2.71, 2 Rh 2.84
Pr8 0.7858 0.3230 0.0350  1 N 2.63, 2 Rh 2.86-2.88
I1 0.0000 0.0000 0.5000  6 Pr 3.49-3.50
I2 0.5000 0.0000 0.0000  6 Pr 3.62-3.68
I3 0.5000 0.0000 0.5000  6 Pr 3.49-3.50
I4 0.0000 0.0000 0.0000  6 Pr 3.49-3.50
Rh1 0.0000 0.5000 0.5000  6 Pr 2.83-2.88
Rh2 0.5000 0.5000 0.0000  6 Pr 2.85-2.86
Rh3 0.5000 0.5000 0.5000  6 Pr 2.83-2.88
N1 0.0000 0.5000 0.0000  6 Pr 2.63-2.71

***

Q: Which value of total magnetic moment does entry 2 give?
A: 0.0 μB per cell

***

Q: Number 3 is which compound?
A: BiPbS2Br

***

Copy entry 4 word for word.
A plane-wave DFT calculation with PBE was carried out for a relaxed structure of Pr8Rh3I4N.

The calculation puts the final energy at -5.61 eV per atom. For the total magnetic moment, the calculation gives 0.0 μB per cell.

a b c (Å): 8.2249 9.4756 8.2709
angles (deg): 116.08 119.82 90.00
Last column: nearest neighbours and their distance in Å.
Atoms (fractional coordinates):
Pr1 0.7507 0.6770 0.9650  1 N 2.63, 2 Rh 2.86-2.88
Pr2 0.7298 0.6883 0.4596  3 Rh 2.83-2.85
Pr3 0.2702 0.3117 0.5404  3 Rh 2.83-2.85
Pr4 0.7812 0.3206 0.5625  1 N 2.71, 2 Rh 2.84
Pr5 0.2142 0.6770 0.9650  1 N 2.63, 2 Rh 2.86-2.88
Pr6 0.2493 0.3230 0.0350  1 N 2.63, 2 Rh 2.86-2.88
Pr7 0.2188 0.6794 0.4375  1 N 2.71, 2 Rh 2.84
Pr8 0.7858 0.3230 0.0350  1 N 2.63, 2 Rh 2.86-2.88
I1 0.0000 0.0000 0.5000  6 Pr 3.49-3.50
I2 0.5000 0.0000 0.0000  6 Pr 3.62-3.68
I3 0.5000 0.0000 0.5000  6 Pr 3.49-3.50
I4 0.0000 0.0000 0.0000  6 Pr 3.49-3.50
Rh1 0.0000 0.5000 0.5000  6 Pr 2.83-2.88
Rh2 0.5000 0.5000 0.0000  6 Pr 2.85-2.86
Rh3 0.5000 0.5000 0.5000  6 Pr 2.83-2.88
N1 0.0000 0.5000 0.0000  6 Pr 2.63-2.71